Version w
# Ba2AcPb

Crystalline Ba2AcPb at its relaxed geometry (GGA-PBE, Alexandria via LeMat-Bulk).

Geometry as CIF:
```
data_Ba2AcPb
_cell_length_a 5.3922
_cell_length_b 5.3922
_cell_length_c 5.8096
_cell_angle_alpha 90.00
_cell_angle_beta 90.00
_cell_angle_gamma 90.00
_space_group_name_H-M_alt 'P 4/m m m'
_space_group_IT_number 123
_space_group_name_Hall '-P 4 2'
loop_
_atom_site_label
_atom_site_type_symbol
_atom_site_fract_x
_atom_site_fract_y
_atom_site_fract_z
Ba1 Ba 0.0000 0.5000 0.0000
Ac1 Ac 0.0000 0.0000 0.5000
Pb1 Pb 0.5000 0.5000 0.5000
```

Results
- crystal system = tetragonal

---

Version x
# Ba2AcPb

Crystalline Ba2AcPb at its relaxed geometry (GGA-PBE, Alexandria via LeMat-Bulk).

Geometry as CIF:
```
data_Ba2AcPb
_cell_length_a 8.9267
_cell_length_b 8.9267
_cell_length_c 8.9267
_cell_angle_alpha 90.00
_cell_angle_beta 90.00
_cell_angle_gamma 90.00
_space_group_name_H-M_alt 'F m -3 m'
_space_group_IT_number 225
_space_group_name_Hall '-F 4 2 3'
loop_
_atom_site_label
_atom_site_type_symbol
_atom_site_fract_x
_atom_site_fract_y
_atom_site_fract_z
Ba1 Ba 0.2500 0.2500 0.2500
Ac1 Ac 0.0000 0.0000 0.0000
Pb1 Pb 0.0000 0.0000 0.5000
```

Results
- crystal system = cubic

---

version w is preferred energetically. Next in line: 17.5 kJ/mol of atoms higher.

---

Version w
# BaAcPb4

Crystalline BaAcPb4 at its relaxed geometry (GGA-PBE, Alexandria via LeMat-Bulk).

Geometry as CIF:
```
data_BaAcPb4
_cell_length_a 9.4561
_cell_length_b 9.4561
_cell_length_c 9.4561
_cell_angle_alpha 90.00
_cell_angle_beta 90.00
_cell_angle_gamma 90.00
_space_group_name_H-M_alt 'F -4 3 m'
_space_group_IT_number 216
_space_group_name_Hall 'F -4 2 3'
loop_
_atom_site_label
_atom_site_type_symbol
_atom_site_fract_x
_atom_site_fract_y
_atom_site_fract_z
Ba1 Ba 0.0000 0.0000 0.0000
Ac1 Ac 0.2500 0.2500 0.2500
Pb1 Pb 0.1244 0.1244 0.6244
```

Results
- crystal system = cubic

---

Version x
# BaAcPb4

Crystalline BaAcPb4 at its relaxed geometry (GGA-PBE, Alexandria via LeMat-Bulk).

Geometry as CIF:
```
data_BaAcPb4
_cell_length_a 5.0142
_cell_length_b 24.4282
_cell_length_c 7.1613
_cell_angle_alpha 90.00
_cell_angle_beta 90.00
_cell_angle_gamma 90.00
_space_group_name_H-M_alt 'C m c m'
_space_group_IT_number 63
_space_group_name_Hall '-C 2c 2'
loop_
_atom_site_label
_atom_site_type_symbol
_atom_site_fract_x
_atom_site_fract_y
_atom_site_fract_z
Ba1 Ba 0.0000 0.2280 0.2500
Ac1 Ac 0.0000 0.0718 0.7500
Pb1 Pb 0.0000 0.0767 0.2500
Pb2 Pb 0.0000 0.3557 0.5110
Pb3 Pb 0.0000 0.5000 0.0000
```

Results
- crystal system = orthorhombic

---

version x is preferred energetically. Next in line: 3.9 kJ/mol of atoms higher.